Entry from OQMD: a relaxed structure of Lu7Cu2Se2 (PBE).

Cell lengths 3.820, 14.627, 9.174 Å; angles 90.00, 90.00, 90.00 degrees
Space group Imm2 (No. 44)
One atom of each set of equivalent atoms:
Lu 0.000 0.000 0.000 x2
Lu 0.000 0.123 0.594 x4
Lu 0.000 0.315 0.386 x4
Lu 0.000 0.364 0.750 x4
Cu 0.000 0.238 0.084 x4
Se 0.000 0.000 0.347 x2
Se 0.000 0.500 0.244 x2

Output
As for the total energy: -4.88 eV/atom. The value obtained for the calculated density is 9.8 g/cm³.

***

Entry from OQMD: a relaxed structure of DyNb (PBE).

Cell lengths 3.586, 3.586, 3.586 Å; angles 90.00, 90.00, 90.00 degrees
Space group Pm-3m (No. 221)
One atom of each set of equivalent atoms:
Dy 0.000 0.000 0.000 x1
Nb 0.500 0.500 0.500 x1

Output
The value obtained for the energy above the most stable polymorph in this dataset is 70 meV/atom. The value obtained for the calculated density is 9.2 g/cm³.